Density functional theory data (PBE) for an optimized crystal structure of Ba2Cd6AgAu.

Results
ρ: 6.725 Mg/m³
Energy of formation from the pure elements: -0.175 eV/atom

Geometry as POSCAR:
```
Ba2Cd6AgAu
1.0
-3.800 3.800 5.361
3.800 -3.800 5.361
3.800 3.800 -5.361
Ba Cd Ag Au
2 6 1 1
Direct
0.250 0.750 0.500
0.750 0.250 0.500
0.250 0.250 0.000
0.250 0.250 0.499
0.250 0.750 0.000
0.750 0.250 0.000
0.750 0.750 0.000
0.750 0.750 0.501
0.000 0.000 0.000
0.500 0.500 0.000
```